Entry from Alexandria: SrBe3Al after structural relaxation (PBEsol).

a b c (Å): 4.487 4.487 4.487
angles (deg): 90.00 90.00 90.00
Element x y z (fractional)
Sr: 0.000 0.000 0.000
Be: 0.000 0.500 0.500
Be: 0.500 0.000 0.500
Be: 0.500 0.500 0.000
Al: 0.500 0.500 0.500

Computed properties:
* symmetry: No. 221
* density of states at the Fermi level: 0.426 states/eV/atom
* energy of formation from the pure elements: 0.645 eV/atom